[1]
This record from the Alexandria database describes a geometry-optimized Be2TcMo structure. The functional is PBE-GGA.

Results
calculated density = 7.45 Mg/m³
DFT formation energy = 0.88 kcal/mol of atoms
energy above the most stable polymorph in this dataset = 280 meV per atom
volume = 47 Å³/f.u.

Geometry as CIF:
```
data_Be2TcMo
_cell_length_a 3.0421
_cell_length_b 3.0421
_cell_length_c 5.1075
_cell_angle_alpha 90.00
_cell_angle_beta 90.00
_cell_angle_gamma 90.00
_symmetry_space_group_name_H-M 'P 4/m m m'
_symmetry_Int_Tables_number 123
_symmetry_space_group_name_Hall '-P 4 2'
loop_
_atom_site_label
_atom_site_type_symbol
_atom_site_fract_x
_atom_site_fract_y
_atom_site_fract_z
_atom_site_occupancy
Be1 Be 0.0000 0.0000 0.2290 1
Tc1 Tc 0.5000 0.5000 0.0000 1
Mo1 Mo 0.5000 0.5000 0.5000 1
```



[2]
This record from the Alexandria database describes a geometry-optimized BeTcMo3 structure. The functional is PBE-GGA.

Results
calculated density = 6.44 Mg/m³
DFT formation energy = 43.26 kcal/mol of atoms
energy above the most stable polymorph in this dataset = 1119 meV per atom
volume = 102 Å³/f.u.

Geometry as CIF:
```
data_BeTcMo3
_cell_length_a 4.6683
_cell_length_b 4.6683
_cell_length_c 4.6683
_cell_angle_alpha 90.00
_cell_angle_beta 90.00
_cell_angle_gamma 90.00
_symmetry_space_group_name_H-M 'P m -3 m'
_symmetry_Int_Tables_number 221
_symmetry_space_group_name_Hall '-P 4 2 3'
loop_
_atom_site_label
_atom_site_type_symbol
_atom_site_fract_x
_atom_site_fract_y
_atom_site_fract_z
_atom_site_occupancy
Be1 Be 0.0000 0.0000 0.0000 1
Tc1 Tc 0.5000 0.5000 0.5000 1
Mo1 Mo 0.0000 0.5000 0.5000 1
```